DFT (PBE+U) results for crystalline La2W2O9 at its relaxed geometry.

a = 7.084 Å, b = 7.387 Å, c = 7.504 Å
α = 70.23°, β = 84.34°, γ = 82.93°
Fractional positions:
O (0.184, 0.579, 0.911)
O (0.019, 0.270, 0.850)
O (0.348, 0.354, 0.635)
O (0.318, 0.095, 0.468)
O (0.144, 0.939, 0.796)
O (0.981, 0.730, 0.150)
O (0.652, 0.646, 0.365)
O (0.272, 0.926, 0.163)
O (0.337, 0.513, 0.249)
O (0.682, 0.905, 0.532)
O (0.027, 0.708, 0.532)
O (0.728, 0.074, 0.837)
O (0.816, 0.421, 0.089)
O (0.856, 0.061, 0.204)
O (0.509, 0.234, 0.100)
O (0.973, 0.292, 0.468)
O (0.491, 0.766, 0.900)
O (0.663, 0.487, 0.751)
La (0.381, 0.719, 0.606)
La (0.160, 0.260, 0.151)
La (0.619, 0.281, 0.394)
La (0.840, 0.740, 0.849)
W (0.842, 0.798, 0.359)
W (0.731, 0.265, 0.944)
W (0.269, 0.735, 0.056)
W (0.158, 0.202, 0.641)

Calculated values
calculated volume: 14.08 Å³ per atom
energy: -0.293 hartree per atom
SG: P-1